Here is crystalline Ac12Tl5Ge2 at its relaxed geometry from Alexandria via LeMat-Bulk. Energies are from PBE-GGA.

The space group is C2/m (No. 12) and the conventional cell measures 18.393, 8.901 and 9.759 Å, with angles of 90.00, 108.26 and 90.00 degrees. The inequivalent atoms are Ac at (0.021, 0.000, 0.305), Ac at (0.080, 0.500, 0.351), Ac at (0.125, 0.211, 0.064), Ac at (0.174, 0.235, 0.681), Tl at (0.000, 0.500, 0.000), Tl at (0.214, 0.000, 0.414), Tl at (0.232, 0.500, 0.011) and Ge at (0.000, 0.268, 0.500).

For the calculated volume, the calculation gives 39.93 A^3/atom. The crystal system is monoclinic. The formation enthalpy at 0 K comes out at -227.3 meV per atom.